No. 1
Density functional theory data (PBE) for crystalline Pm2AlZnO6 at its relaxed geometry.

Summary:
ΔE_f (raw) ... -2.6760 eV per atom
ρ ... 6775 kg/m3
Size of the total moment ... 0.109 μB/atom
Space-group type ... P2_1/c, No. 14
DFT total energy ... -7.10 eV/atom

Cell: 5.406 5.670 7.651 Å, 90.00 89.70 90.00°
Fractional positions:
O 0.786 0.812 0.546
O 0.592 0.027 0.259
O 0.908 0.527 0.241
O 0.286 0.688 0.046
O 0.812 0.787 0.950
O 0.408 0.973 0.741
O 0.688 0.287 0.550
O 0.092 0.473 0.759
O 0.188 0.213 0.050
O 0.312 0.713 0.450
O 0.214 0.188 0.454
O 0.714 0.312 0.954
Pm 0.016 0.937 0.251
Pm 0.516 0.563 0.751
Pm 0.484 0.437 0.249
Pm 0.984 0.063 0.749
Al 0.500 0.000 0.500
Al 0.000 0.500 0.000
Zn 0.500 0.000 0.000
Zn 0.000 0.500 0.500



No. 2
Density functional theory data (PBE) for crystalline PmZrAlO6 at its relaxed geometry.

Summary:
ΔE_f (raw) ... -2.5542 eV per atom
ρ ... 5138 kg/m3
Size of the total moment ... 0.222 μB/atom
Space-group type ... P312, No. 149
DFT total energy ... -7.75 eV/atom

Cell: 4.554 5.426 5.426 Å, 120.00 90.00 90.00°
Fractional positions:
O 0.733 0.684 0.728
O 0.267 0.272 0.316
O 0.267 0.044 0.728
O 0.733 0.272 0.956
O 0.267 0.684 0.956
O 0.733 0.044 0.316
Zr 0.000 0.333 0.667
Pm 0.500 0.667 0.333
Al 0.500 0.000 0.000



No. 3
Density functional theory data (PBE) for crystalline Pr2AlO4 at its relaxed geometry.

Summary:
ΔE_f (raw) ... -2.8095 eV per atom
ρ ... 6835 kg/m3
Size of the total moment ... 0.000 μB/atom
Space-group type ... C2/m, No. 12
DFT total energy ... -7.54 eV/atom

Cell: 3.163 6.262 6.250 Å, 129.27 104.66 90.00°
Fractional positions:
O 0.950 0.232 0.901
O 0.640 0.224 0.280
O 0.050 0.768 0.099
O 0.360 0.776 0.720
Pr 0.339 0.368 0.678
Pr 0.661 0.632 0.322
Al 0.000 0.000 0.000



No. 4
Density functional theory data (PBE) for crystalline Pr3Al2O8 at its relaxed geometry.

Summary:
ΔE_f (raw) ... -2.9233 eV per atom
ρ ... 5722 kg/m3
Size of the total moment ... 0.081 μB/atom
Space-group type ... R-3m, No. 166
DFT total energy ... -7.65 eV/atom

Cell: 5.608 5.608 7.210 Å, 67.11 67.11 60.00°
Fractional positions:
Al 0.592 0.592 0.224
Al 0.408 0.408 0.776
Pr 0.200 0.200 0.399
Pr 0.800 0.800 0.601
Pr 0.000 0.000 0.000
O 0.736 0.736 0.308
O 0.317 0.317 0.048
O 0.780 0.264 0.692
O 0.264 0.780 0.692
O 0.683 0.683 0.952
O 0.736 0.220 0.308
O 0.220 0.736 0.308
O 0.264 0.264 0.692



No. 5
Density functional theory data (PBE) for crystalline Pr3AlO6 at its relaxed geometry.

Summary:
ΔE_f (raw) ... -3.2730 eV per atom
ρ ... 5921 kg/m3
Size of the total moment ... 0.000 μB/atom
Space-group type ... Cmc2_1, No. 36
DFT total energy ... -8.06 eV/atom

Cell: 5.607 7.481 7.481 Å, 102.77 90.00 90.00°
Fractional positions:
O 0.708 0.329 0.353
O 0.668 0.593 0.110
O 0.208 0.353 0.329
O 0.668 0.890 0.407
O 0.208 0.671 0.647
O 0.708 0.647 0.671
O 0.168 0.407 0.890
O 0.131 0.049 0.951
O 0.699 0.213 0.787
O 0.631 0.951 0.049
O 0.168 0.110 0.593
O 0.199 0.787 0.213
Pr 0.476 0.916 0.700
Pr 0.976 0.084 0.300
Pr 0.435 0.395 0.605
Pr 0.976 0.700 0.916
Pr 0.476 0.300 0.084
Pr 0.935 0.605 0.395
Al 0.515 0.807 0.193
Al 0.015 0.193 0.807



No. 6
Density functional theory data (PBE) for crystalline Pr12Al3O5 at its relaxed geometry.

Summary:
ΔE_f (raw) ... -1.4201 eV per atom
ρ ... 5841 kg/m3
Size of the total moment ... 0.000 μB/atom
Space-group type ... Ia-3d, No. 230
DFT total energy ... -6.09 eV/atom

Cell: 13.986 13.986 13.986 Å, 109.47 109.47 109.47°
Fractional positions:
Al 0.250 0.625 0.875
Al 0.750 0.875 0.625
Al 0.125 0.250 0.875
Al 0.250 0.125 0.375
Al 0.125 0.875 0.750
Al 0.375 0.625 0.250
Al 0.625 0.250 0.375
Al 0.750 0.375 0.125
Al 0.875 0.750 0.125
Al 0.375 0.750 0.625
Al 0.875 0.125 0.250
Al 0.625 0.375 0.750
Pr 0.015 0.404 0.814
Pr 0.611 0.015 0.200
Pr 0.515 0.200 0.111
Pr 0.904 0.090 0.889
Pr 0.596 0.611 0.410
Pr 0.300 0.889 0.985
Pr 0.389 0.985 0.800
Pr 0.904 0.814 0.515
Pr 0.814 0.904 0.015
Pr 0.985 0.596 0.186
Pr 0.314 0.800 0.410
Pr 0.200 0.686 0.090
Pr 0.686 0.485 0.596
Pr 0.611 0.596 0.910
Pr 0.096 0.910 0.111
Pr 0.410 0.300 0.314
Pr 0.096 0.186 0.485
Pr 0.700 0.111 0.015
Pr 0.485 0.686 0.096
Pr 0.985 0.389 0.300
Pr 0.090 0.904 0.389
Pr 0.404 0.389 0.590
Pr 0.800 0.485 0.389
Pr 0.515 0.314 0.904
Pr 0.889 0.300 0.485
Pr 0.015 0.611 0.700
Pr 0.186 0.090 0.700
Pr 0.800 0.314 0.910
Pr 0.090 0.186 0.200
Pr 0.314 0.515 0.404
Pr 0.814 0.910 0.300
Pr 0.485 0.800 0.889
Pr 0.910 0.814 0.800
Pr 0.590 0.889 0.404
Pr 0.590 0.700 0.686
Pr 0.389 0.404 0.090
Pr 0.200 0.515 0.611
Pr 0.910 0.096 0.611
Pr 0.889 0.590 0.904
Pr 0.700 0.590 0.186
Pr 0.596 0.985 0.686
Pr 0.410 0.111 0.596
Pr 0.404 0.015 0.314
Pr 0.686 0.200 0.590
Pr 0.111 0.700 0.515
Pr 0.300 0.410 0.814
Pr 0.111 0.410 0.096
Pr 0.186 0.096 0.985
O 0.500 0.000 0.500
O 0.625 0.750 0.875
O 0.000 0.000 0.500
O 0.000 0.500 0.000
O 0.875 0.250 0.625
O 0.625 0.875 0.250
O 0.000 0.500 0.500
O 0.750 0.125 0.875
O 0.250 0.375 0.625
O 0.250 0.875 0.125
O 0.125 0.375 0.250
O 0.500 0.000 0.000
O 0.500 0.500 0.500
O 0.125 0.750 0.375
O 0.000 0.000 0.000
O 0.875 0.625 0.750
O 0.375 0.250 0.125
O 0.750 0.625 0.375
O 0.375 0.125 0.750
O 0.500 0.500 0.000



> Which formula does entry 5 have?

Pr3AlO6



> Number 5 is which compound?

Pr3AlO6



Copy entry 4 word for word.
Density functional theory data (PBE) for crystalline Pr3Al2O8 at its relaxed geometry.

Summary:
ΔE_f (raw) ... -2.9233 eV per atom
ρ ... 5722 kg/m3
Size of the total moment ... 0.081 μB/atom
Space-group type ... R-3m, No. 166
DFT total energy ... -7.65 eV/atom

Cell: 5.608 5.608 7.210 Å, 67.11 67.11 60.00°
Fractional positions:
Al 0.592 0.592 0.224
Al 0.408 0.408 0.776
Pr 0.200 0.200 0.399
Pr 0.800 0.800 0.601
Pr 0.000 0.000 0.000
O 0.736 0.736 0.308
O 0.317 0.317 0.048
O 0.780 0.264 0.692
O 0.264 0.780 0.692
O 0.683 0.683 0.952
O 0.736 0.220 0.308
O 0.220 0.736 0.308
O 0.264 0.264 0.692